Record 1
VASP calculation (GGA-PBE) on a geometry-optimized Nd4Sm2Sn3N2 structure.

## Properties
VASP energy   -6.129 eV per atom
Energy relative to the elements, uncorrected   -0.932 eV per atom
Density of states at the Fermi level   3.45 states/eV per cell

a = 4.8766 Å, b = 4.8766 Å, c = 25.7687 Å
α = 90.00°, β = 90.00°, γ = 90.00°
Last column: nearest neighbours and their distance in Å.
Space group I4/mmm (No. 139)
One atom of each set of equivalent atoms:
Nd  0.0000  0.5000  0.0847 (multiplicity 8)  2 N 2.49
Sm  0.0000  0.0000  0.1935 (multiplicity 4)  1 N 2.28
Sn  0.0000  0.0000  0.3221 (multiplicity 4)  5 Sm 3.31-3.47, 4 Nd 3.42
Sn  0.0000  0.0000  0.5000 (multiplicity 2)  8 Nd 3.27
N  0.0000  0.0000  0.1049 (multiplicity 4)  1 Sm 2.28, 4 Nd 2.49

Record 2
VASP calculation (GGA-PBE) on a geometry-optimized Dy5Ni2Te2 structure.

## Properties
VASP energy   -5.322 eV per atom
Energy relative to the elements, uncorrected   -0.783 eV per atom
Density of states at the Fermi level   37.32 states/eV per cell

a = 15.5100 Å, b = 7.6765 Å, c = 7.6548 Å
α = 90.00°, β = 90.00°, γ = 90.00°
Last column: nearest neighbours and their distance in Å.
Space group Cmce (No. 64)
One atom of each set of equivalent atoms:
Dy  0.0000  0.0000  0.0000 (multiplicity 4)  4 Ni 2.99-3.01, 2 Te 3.23
Dy  0.1173  0.1594  0.3408 (multiplicity 16)  3 Ni 2.87-2.91, 3 Te 3.21
Ni  0.0000  0.1326  0.6293 (multiplicity 8)  1 Ni 2.84, 8 Dy 2.87-3.01
Te  0.2080  0.0000  0.0000 (multiplicity 8)  7 Dy 3.21-3.23

Record 3
VASP calculation (GGA-PBE) on a geometry-optimized InCo2Tc structure.

## Properties
VASP energy   -6.523 eV per atom
Density of states at the Fermi level   8.40 states/eV per cell
Energy of formation from the pure elements   0.31 eV/atom

a = 8.5119 Å, b = 2.7876 Å, c = 4.9451 Å
α = 90.00°, β = 99.35°, γ = 90.00°
Last column: nearest neighbours and their distance in Å.
Space group C2/m (No. 12)
One atom of each set of equivalent atoms:
In  0.0000  0.0000  0.0000 (multiplicity 2)  6 Co 2.73-2.79, 2 In 2.79, 4 Tc 2.84
Co  0.2445  0.0000  0.7031 (multiplicity 4)  2 Co 2.46, 3 Tc 2.54-2.57, 1 In 2.73
Tc  0.0000  0.5000  0.5000 (multiplicity 2)  6 Co 2.54-2.57, 2 Tc 2.79, 4 In 2.84

Record 4
VASP calculation (GGA-PBE) on a geometry-optimized YAg2Os structure.

## Properties
VASP energy   -5.598 eV per atom
Density of states at the Fermi level   6.70 states/eV per cell
Energy of formation from the pure elements   0.25 eV/atom

a = 4.2513 Å, b = 4.2513 Å, c = 8.4217 Å
α = 90.00°, β = 90.00°, γ = 90.00°
Last column: nearest neighbours and their distance in Å.
Space group I-4m2 (No. 119)
One atom of each set of equivalent atoms:
Y  0.0000  0.0000  0.0000 (multiplicity 2)  4 Os 2.99, 8 Ag 2.99-3.01
Ag  0.0000  0.0000  0.5000 (multiplicity 2)  4 Os 2.99, 4 Ag 2.99, 4 Y 3.01
Ag  0.0000  0.5000  0.2500 (multiplicity 2)  4 Y 2.99, 4 Ag 2.99, 4 Os 3.01
Os  0.0000  0.5000  0.7500 (multiplicity 2)  8 Ag 2.99-3.01, 4 Y 2.99

Record 5
VASP calculation (GGA-PBE) on a geometry-optimized Sc2FeCl structure.

## Properties
VASP energy   -6.153 eV per atom
Energy relative to the elements, uncorrected   -0.410 eV per atom
Density of states at the Fermi level   5.12 states/eV per cell

a = 9.8056 Å, b = 3.1757 Å, c = 4.3742 Å
α = 90.00°, β = 95.48°, γ = 90.00°
Last column: nearest neighbours and their distance in Å.
Space group Cm (No. 8)
One atom of each set of equivalent atoms:
Sc  0.0000  0.0000  0.0000 (multiplicity 2)  1 Fe 2.43
Sc  0.2158  0.5000  0.5474 (multiplicity 2)  3 Cl 2.66-2.77, 4 Fe 2.67-2.77
Fe  0.2492  0.0000  0.0408 (multiplicity 2)  3 Sc 2.43-2.67, 1 Cl 2.57
Cl  0.4431  0.0000  0.4804 (multiplicity 2)  1 Fe 2.57, 7 Sc 2.66-2.78

Record 6
VASP calculation (GGA-PBE) on a geometry-optimized LuHfTcHg structure.

## Properties
VASP energy   -6.461 eV per atom
Density of states at the Fermi level   9.59 states/eV per cell
Energy of formation from the pure elements   -0.18 eV/atom

a = 6.8571 Å, b = 6.8571 Å, c = 6.8571 Å
α = 90.00°, β = 90.00°, γ = 90.00°
Last column: nearest neighbours and their distance in Å.
Space group F-43m (No. 216)
One atom of each set of equivalent atoms:
Lu  0.0000  0.0000  0.0000 (multiplicity 4)  4 Hg 2.97, 4 Tc 2.97
Hf  0.0000  0.0000  0.5000 (multiplicity 4)  4 Hg 2.97, 4 Tc 2.97
Tc  0.2500  0.2500  0.2500 (multiplicity 4)  4 Hf 2.97, 4 Lu 2.97
Hg  0.2500  0.2500  0.7500 (multiplicity 4)  4 Hf 2.97, 4 Lu 2.97

Total magnetization per entry: 0.000, 0.000, 2.142, 0.597, 0.000, 0.000 μB/f.u.